[1]
Na3RhF4 | PBE-GGA | optimized geometry

Results
Total DFT energy (no corrections) (eV per atom): -4.364

Lattice parameters (Å, degrees): 4.7528 4.7528 5.8142 114.12 114.12 90.00
Last column: nearest neighbours and their distance in Å.
Fractional positions:
F 0.7422 0.7422 0.4844  5 Na 2.30-2.38, 1 Rh 2.45
F 0.2578 0.2578 0.5156  5 Na 2.30-2.38, 1 Rh 2.45
Na 0.5000 0.5000 0.0000  6 F 2.30-2.38
F 0.0000 0.5000 0.0000  4 Na 2.37-2.38, 2 Rh 2.38
F 0.5000 0.0000 0.0000  4 Na 2.37-2.38, 2 Rh 2.38
Na 0.7500 0.2500 0.5000  6 F 2.37-2.38
Rh 0.0000 0.0000 0.0000  6 F 2.38-2.45
Na 0.2500 0.7500 0.5000  6 F 2.37-2.38

=====

[2]
Na2Rh2F | PBE-GGA | optimized geometry

Results
Excess energy over the best structure of this formula in the dataset (meV/atom): 0

Lattice parameters (Å, degrees): 5.7437 5.7437 5.2552 56.87 56.87 90.00
Last column: nearest neighbours and their distance in Å.
Fractional positions:
Rh 0.6740 0.6740 0.6520  1 F 2.17, 1 Rh 2.32
Na 0.2500 0.7500 0.5000  4 Rh 2.92
Rh 0.3260 0.3260 0.3480  1 F 2.17, 1 Rh 2.32
F 0.0000 0.0000 0.0000  2 Rh 2.17
Na 0.7500 0.2500 0.5000  4 Rh 2.92

=====

[3]
Na2Rh2F | PBE-GGA | optimized geometry

Results
Excess energy over the best structure of this formula in the dataset (meV/atom): 4

Lattice parameters (Å, degrees): 6.1217 6.1217 4.8775 90.00 90.00 90.00
Last column: nearest neighbours and their distance in Å.
Fractional positions:
Rh 0.6440 0.1440 0.0000  2 F 2.35, 1 Rh 2.49
Na 0.6701 0.8299 0.5000  6 Rh 2.92-3.11, 5 Na 2.94-3.21
Rh 0.3560 0.8560 0.0000  2 F 2.35, 1 Rh 2.49
Na 0.1701 0.6701 0.5000  6 Rh 2.92-3.11, 5 Na 2.94-3.21
Rh 0.1440 0.3560 0.0000  2 F 2.35, 1 Rh 2.49
F 0.0000 0.0000 0.0000  4 Rh 2.35
F 0.5000 0.5000 0.0000  4 Rh 2.35
Na 0.3299 0.1701 0.5000  6 Rh 2.92-3.11, 5 Na 2.94-3.21
Na 0.8299 0.3299 0.5000  6 Rh 2.92-3.11, 5 Na 2.94-3.21
Rh 0.8560 0.6440 0.0000  2 F 2.35, 1 Rh 2.49

=====

[4]
NaRh2F6 | PBE-GGA | optimized geometry

Results
Total DFT energy (no corrections) (eV per atom): -4.671

Lattice parameters (Å, degrees): 4.7275 5.5859 5.5859 120.00 90.00 90.00
Last column: nearest neighbours and their distance in Å.
Fractional positions:
Rh 0.5000 0.3333 0.6667  6 F 2.09
Na 0.0000 0.0000 0.0000  6 F 2.38
F 0.2796 0.3536 0.3536  2 Rh 2.09
F 0.7204 0.0000 0.3536  2 Rh 2.09
F 0.2796 0.0000 0.6464  2 Rh 2.09
F 0.7204 0.6464 0.6464  2 Rh 2.09
Rh 0.5000 0.6667 0.3333  6 F 2.09
F 0.2796 0.6464 0.0000  2 Rh 2.09
F 0.7204 0.3536 0.0000  2 Rh 2.09

=====

[5]
Na6RhF8 | PBE-GGA | optimized geometry

Results
Total DFT energy (no corrections) (eV per atom): -4.412

Lattice parameters (Å, degrees): 6.6414 6.6414 6.6414 60.00 60.00 60.00
Last column: nearest neighbours and their distance in Å.
Fractional positions:
Na 0.5000 0.0000 0.5000  6 F 2.35
Rh 0.0000 0.0000 0.0000  6 F 2.17
Na 0.5000 0.5000 0.0000  6 F 2.35
F 0.7686 0.2314 0.7686  1 Rh 2.17, 4 Na 2.35
Na 0.0000 0.5000 0.5000  6 F 2.35
Na 0.0000 0.5000 0.0000  6 F 2.35
F 0.2500 0.2500 0.2500  6 Na 2.35
F 0.2314 0.2314 0.7686  1 Rh 2.17, 4 Na 2.35
F 0.7500 0.7500 0.7500  6 Na 2.35
F 0.2314 0.7686 0.2314  1 Rh 2.17, 4 Na 2.35
Na 0.5000 0.0000 0.0000  6 F 2.35
F 0.2314 0.7686 0.7686  1 Rh 2.17, 4 Na 2.35
F 0.7686 0.2314 0.2314  1 Rh 2.17, 4 Na 2.35
Na 0.0000 0.0000 0.5000  6 F 2.35
F 0.7686 0.7686 0.2314  1 Rh 2.17, 4 Na 2.35

=====

[6]
Na2RhF4 | PBE-GGA | optimized geometry

Results
Excess energy over the best structure of this formula in the dataset (meV/atom): 43

Lattice parameters (Å, degrees): 5.7600 5.7600 5.0786 124.55 124.55 90.00
Last column: nearest neighbours and their distance in Å.
Fractional positions:
F 0.7473 0.2527 0.0000  1 Rh 2.01
Rh 0.5000 0.5000 0.0000  4 F 2.01
F 0.7473 0.7473 0.0000  1 Rh 2.01
Na 0.2500 0.7500 0.5000  8 F 2.54
Na 0.7500 0.2500 0.5000  8 F 2.54
F 0.2527 0.2527 0.0000  1 Rh 2.01
F 0.2527 0.7473 0.0000  1 Rh 2.01

=====

[7]
Na5RhF8 | PBE-GGA | optimized geometry

Results
Total DFT energy (no corrections) (eV per atom): -4.255

Lattice parameters (Å, degrees): 6.7260 6.7260 6.7260 60.00 60.00 60.00
Last column: nearest neighbours and their distance in Å.
Fractional positions:
F 0.8674 0.3977 0.8674  4 Na 2.18-2.23
F 0.8797 0.3734 0.3734  1 Rh 2.03
F 0.3734 0.8797 0.3734  1 Rh 2.03
Na 0.6331 0.1007 0.6331  6 F 2.23-2.47
Na 0.1007 0.6331 0.6331  6 F 2.23-2.47
F 0.8674 0.8674 0.3977  4 Na 2.18-2.23
Na 0.6331 0.6331 0.1007  6 F 2.23-2.47
F 0.3734 0.3734 0.3734  1 Rh 2.03
Na 0.0000 0.0000 0.0000  4 F 2.18
F 0.3734 0.3734 0.8797  1 Rh 2.03
F 0.3977 0.8674 0.8674  4 Na 2.18-2.23
F 0.8674 0.8674 0.8674  4 Na 2.18-2.23
Rh 0.2500 0.2500 0.2500  4 F 2.03
Na 0.6331 0.6331 0.6331  6 F 2.23-2.47

=====

[8]
NaRhF4 | PBE-GGA | optimized geometry

Results
Total DFT energy (no corrections) (eV per atom): -4.404

Lattice parameters (Å, degrees): 5.8933 5.8933 5.0513 125.69 125.69 90.00
Last column: nearest neighbours and their distance in Å.
Fractional positions:
Na 0.7500 0.2500 0.5000  8 F 2.51-2.55
F 0.2719 0.2667 0.0003  1 Rh 1.92
Rh 0.5000 0.5000 0.0000  4 F 1.92
F 0.2665 0.7281 0.9997  1 Rh 1.92
F 0.7333 0.2716 0.9997  1 Rh 1.92
F 0.7284 0.7335 0.0003  1 Rh 1.92